(1)
# Y3TeAu PBE-GGA optimized geometry
data_Y3TeAu
_chemical_formula_sum 'Y12 Te4 Au4'
_cell_length_a 11.900
_cell_length_b 3.968
_cell_length_c 11.990
_cell_angle_alpha 90.00
_cell_angle_beta 90.00
_cell_angle_gamma 90.00
_symmetry_space_group_name_H-M 'P n m a'
_symmetry_Int_Tables_number 62
_symmetry_space_group_name_Hall '-P 2ac 2n'
loop_
_atom_site_label
_atom_site_fract_x
_atom_site_fract_y
_atom_site_fract_z
Y1 0.049 0.250 0.125
Y2 0.150 0.750 0.556
Y3 0.223 0.250 0.793
Te1 0.016 0.750 0.329
Au1 0.179 0.750 0.988
# raw formation energy	-0.872	eV/atom
# energy	-120.68	eV for the cell shown

(2)
# Ce3SnRh6 PBE-GGA optimized geometry
data_Ce3SnRh6
_chemical_formula_sum 'Ce9 Sn3 Rh18'
_cell_length_a 11.4408
_cell_length_b 11.4408
_cell_length_c 5.2486
_cell_angle_alpha 90.00
_cell_angle_beta 90.00
_cell_angle_gamma 120.00
_symmetry_space_group_name_H-M 'R 3 m'
_symmetry_Int_Tables_number 160
_symmetry_space_group_name_Hall 'R 3 -2"'
loop_
_atom_site_label
_atom_site_fract_x
_atom_site_fract_y
_atom_site_fract_z
Ce1 0.1703 0.3406 0.0000
Sn1 0.0000 0.0000 0.0709
Rh1 0.0798 0.1596 0.4971
Rh2 0.2121 0.4242 0.5131
# energy relative to the elements	-0.58	eV/atom
# energy	-215.16	eV for the cell shown

(3)
# Zr2Ga2Tc PBE-GGA optimized geometry
data_Zr2Ga2Tc
_chemical_formula_sum 'Zr4 Ga4 Tc2'
_cell_length_a 6.902
_cell_length_b 6.902
_cell_length_c 3.759
_cell_angle_alpha 90.00
_cell_angle_beta 90.00
_cell_angle_gamma 90.00
_symmetry_space_group_name_H-M 'P 4/m b m'
_symmetry_Int_Tables_number 127
_symmetry_space_group_name_Hall '-P 4 2ab'
loop_
_atom_site_label
_atom_site_fract_x
_atom_site_fract_y
_atom_site_fract_z
Zr1 0.176 0.324 0.000
Ga1 0.128 0.628 0.500
Tc1 0.000 0.000 0.500
# energy relative to the elements	-0.53	eV/atom
# energy	-72.32	eV for the cell shown

(4)
# Pr2Sm2Y4Er PBE-GGA optimized geometry
data_Pr2Sm2Y4Er
_chemical_formula_sum 'Pr4 Sm4 Y8 Er2'
_cell_length_a 18.891
_cell_length_b 3.642
_cell_length_c 9.681
_cell_angle_alpha 90.00
_cell_angle_beta 115.70
_cell_angle_gamma 90.00
_symmetry_space_group_name_H-M 'C 1 2/m 1'
_symmetry_Int_Tables_number 12
_symmetry_space_group_name_Hall '-C 2y'
loop_
_atom_site_label
_atom_site_fract_x
_atom_site_fract_y
_atom_site_fract_z
Pr1 0.165 0.000 0.499
Sm1 0.147 0.500 0.163
Y1 0.019 0.000 0.833
Y2 0.185 0.500 0.835
Er1 0.000 0.500 0.500
# energy relative to the elements	0.00	eV/atom
# energy	-98.81	eV for the cell shown

(5)
# NbCrRe PBE-GGA optimized geometry
data_NbCrRe
_chemical_formula_sum 'Nb4 Cr4 Re4'
_cell_length_a 9.319
_cell_length_b 4.364
_cell_length_c 5.415
_cell_angle_alpha 90.00
_cell_angle_beta 125.35
_cell_angle_gamma 90.00
_symmetry_space_group_name_H-M 'C 1 2/m 1'
_symmetry_Int_Tables_number 12
_symmetry_space_group_name_Hall '-C 2y'
loop_
_atom_site_label
_atom_site_fract_x
_atom_site_fract_y
_atom_site_fract_z
Nb1 0.007 0.000 0.256
Cr1 0.168 0.500 0.245
Re1 0.168 0.500 0.750
# energy relative to the elements	-0.01	eV/atom
# energy	-128.71	eV for the cell shown

(6)
# MgTe4 PBE-GGA optimized geometry
data_MgTe4
_chemical_formula_sum 'Mg1 Te4'
_cell_length_a 5.418
_cell_length_b 5.418
_cell_length_c 5.418
_cell_angle_alpha 90.00
_cell_angle_beta 90.00
_cell_angle_gamma 90.00
_symmetry_space_group_name_H-M 'P m -3 m'
_symmetry_Int_Tables_number 221
_symmetry_space_group_name_Hall '-P 4 2 3'
loop_
_atom_site_label
_atom_site_fract_x
_atom_site_fract_y
_atom_site_fract_z
Mg1 0.000 0.000 0.000
Te1 0.000 0.000 0.500
Te2 0.500 0.500 0.500
# raw formation energy	0.280	eV/atom
# energy	-12.76	eV for the cell shown